[1]
Compound: Li2Sc2Si2NiPt
Source: OQMD via LeMat-Bulk
Functional: GGA-PBE
Structure: relaxed

Results
E_tot: -5.640 eV/atom

Cell lengths 4.292, 4.292, 6.100 Å; angles 90.00, 90.00, 90.00 degrees
Atoms (fractional coordinates):
Sc1 0.000 0.500 0.237
Ni1 0.500 0.500 0.000
Li1 0.000 0.000 0.000
Sc2 0.500 0.000 0.763
Pt1 0.000 0.000 0.500
Li2 0.500 0.500 0.500
Si1 0.000 0.500 0.757
Si2 0.500 0.000 0.243

[2]
Compound: PrOs2
Source: OQMD via LeMat-Bulk
Functional: GGA-PBE
Structure: relaxed

Results
calculated formation energy: -0.090 eV/f.u.

Cell lengths 5.446, 5.446, 5.446 Å; angles 60.00, 60.00, 60.00 degrees
Atoms (fractional coordinates):
Os1 0.625 0.625 0.125
Os2 0.625 0.625 0.625
Os3 0.625 0.125 0.625
Pr1 0.250 0.250 0.250
Os4 0.125 0.625 0.625
Pr2 0.000 0.000 0.000

[3]
Compound: HfTc2Ir
Source: OQMD via LeMat-Bulk
Functional: GGA-PBE
Structure: relaxed

Results
calculated formation energy: -0.618 eV/f.u.

Cell lengths 4.493, 4.493, 4.493 Å; angles 60.00, 60.00, 60.00 degrees
Last column: magnetic moment on the atom in μB.
Atoms (fractional coordinates):
Tc1 0.000 0.000 0.000  0.92
Hf1 0.500 0.500 0.500  0.00
Tc2 0.750 0.750 0.750  0.05
Ir1 0.250 0.250 0.250  0.45

[4]
Compound: DyInB4
Source: OQMD via LeMat-Bulk
Functional: GGA-PBE
Structure: relaxed

Results
excess energy over the best structure of this formula in the dataset: 0.000 eV/atom

Cell lengths 5.148, 5.148, 5.148 Å; angles 143.51, 117.58, 74.52 degrees
Atoms (fractional coordinates):
B1 0.935 0.261 0.674
B2 0.065 0.739 0.326
B3 0.588 0.261 0.326
In1 0.500 0.500 0.000
B4 0.412 0.739 0.674
Dy1 0.000 0.000 0.000

[5]
Compound: GdTmPbC
Source: OQMD via LeMat-Bulk
Functional: GGA-PBE
Structure: relaxed

Results
excess energy over the best structure of this formula in the dataset: 0.000 eV/atom

Cell lengths 3.627, 3.627, 16.118 Å; angles 90.00, 90.00, 120.00 degrees
Atoms (fractional coordinates):
Tm1 0.667 0.333 0.580
Gd1 0.333 0.667 0.084
C1 0.000 0.000 0.000
C2 0.000 0.000 0.500
Pb1 0.667 0.333 0.254
Tm2 0.333 0.667 0.420
Pb2 0.333 0.667 0.746
Gd2 0.667 0.333 0.916

[6]
Compound: Sr2Gd
Source: OQMD via LeMat-Bulk
Functional: GGA-PBE
Structure: relaxed

Results
excess energy over the best structure of this formula in the dataset: 0.000 eV/atom

Cell lengths 7.311, 7.311, 7.311 Å; angles 60.00, 60.00, 60.00 degrees
Last column: magnetic moment on the atom in μB.
Atoms (fractional coordinates):
Sr1 0.625 0.625 0.125  0.04
Gd1 0.250 0.250 0.250  0.45
Sr2 0.625 0.125 0.625  0.04
Gd2 0.000 0.000 0.000  0.45
Sr3 0.625 0.625 0.625  0.04
Sr4 0.125 0.625 0.625  0.06

[7]
Compound: Sc8Cu2Os
Source: OQMD via LeMat-Bulk
Functional: GGA-PBE
Structure: relaxed

Results
calculated formation energy: -2.737 eV/f.u.

Cell lengths 8.260, 8.260, 6.308 Å; angles 108.50, 108.50, 33.37 degrees
Atoms (fractional coordinates):
Sc1 0.193 0.193 0.302
Sc2 0.595 0.595 0.444
Sc3 0.030 0.030 0.795
Os1 0.500 0.500 0.000
Sc4 0.405 0.405 0.556
Sc5 0.332 0.332 0.029
Cu1 0.818 0.818 0.299
Sc6 0.970 0.970 0.205
Sc7 0.807 0.807 0.698
Cu2 0.182 0.182 0.701
Sc8 0.668 0.668 0.971

[8]
Compound: Y4Si3W2C3
Source: OQMD via LeMat-Bulk
Functional: GGA-PBE
Structure: relaxed

Results
E_tot: -8.453 eV/atom

Cell lengths 5.879, 5.879, 13.813 Å; angles 102.50, 102.50, 60.61 degrees
Atoms (fractional coordinates):
Y1 0.193 0.045 0.606
W1 0.475 0.654 0.423
C1 0.649 0.201 0.000
Y2 0.881 0.701 0.607
W2 0.525 0.346 0.577
W3 0.346 0.525 0.077
Y3 0.701 0.881 0.107
C2 0.201 0.649 0.500
C3 0.500 0.000 0.500
Si1 0.821 0.179 0.750
C4 0.799 0.351 0.500
Si2 0.179 0.821 0.250
Y4 0.807 0.955 0.394
Si3 0.588 0.654 0.748
Si4 0.412 0.346 0.252
C5 0.000 0.500 0.000
Y5 0.955 0.807 0.894
Y6 0.299 0.119 0.893
Y7 0.119 0.299 0.393
Y8 0.045 0.193 0.106
Si5 0.346 0.412 0.752
C6 0.351 0.799 0.000
Si6 0.654 0.588 0.248
W4 0.654 0.475 0.923

Which formula does entry 8 have?
Y4Si3W2C3